The following is a DFT calculation (GGA-PBE) of a relaxed Cu5Te crystal.

Cell: 4.971 4.971 4.971 Å, 60.00 60.00 60.00°
Element x y z (fractional)
Cu: 0.000 0.000 0.000
Cu: 0.122 0.626 0.626
Cu: 0.626 0.122 0.626
Cu: 0.626 0.626 0.122
Cu: 0.626 0.626 0.626
Te: 0.250 0.250 0.250

## Properties
- polymorph energy (0 for the lowest one) (meV/atom) = 76
- space-group type = No. 216

=====

The following is a DFT calculation (GGA-PBE) of a relaxed PmPrNi crystal.

Cell: 4.583 4.583 4.349 Å, 90.00 90.00 120.00°
Element x y z (fractional)
Pm: 0.000 0.000 0.000
Pr: 0.667 0.333 0.525
Ni: 0.333 0.667 0.233

## Properties
- ΔE_f (eV per atom) = -0.03
- polymorph energy (0 for the lowest one) (meV/atom) = 182
- space-group type = No. 156

=====

The following is a DFT calculation (GGA-PBE) of a relaxed BaNdZnGe crystal.

Cell: 5.459 5.459 5.459 Å, 60.00 60.00 60.00°
Element x y z (fractional)
Ba: 0.000 0.000 0.000
Nd: 0.500 0.500 0.500
Zn: 0.750 0.750 0.750
Ge: 0.250 0.250 0.250

## Properties
- ΔE_f (eV per atom) = -0.31
- space-group type = No. 216

=====

no.,total energy (Ha/atom),total magnetic moment (μB per atom),D(E_F) (states/eV per cell)
1,-0.1383,0.000,3.59
2,-0.1885,0.000,3.43
3,-0.1269,0.000,4.38